# 1
Entry from the Alexandria database: an optimized crystal structure of La2PtBr2 (PBE).

Computed properties:
As for the raw total energy: -5.381 eV per atom. The calculation puts the calculated density at 6.08 Mg/m³. Its crystal system is trigonal. The energy relative to the elements, uncorrected comes out at -1.532 eV per atom. The value obtained for the magnetic moment is 0.00 μB/cell. The value obtained for the calculated volume is 34.6 Å³ per atom.

Cell and atoms, written as POSCAR:
```
La2PtBr2
1.0
4.227 0.000 0.664
2.061 3.690 0.664
0.413 0.242 11.163
La Pt Br
2 1 2
Direct
0.384 0.384 0.847 La
0.616 0.616 0.153 La
0.000 0.000 0.000 Pt
0.889 0.889 0.333 Br
0.111 0.111 0.667 Br
```

***

# 2
Entry from the Alexandria database: an optimized crystal structure of LaPtBr2 (PBE).

Computed properties:
As for the raw total energy: -4.406 eV per atom. The calculation puts the calculated density at 8.33 Mg/m³. Its crystal system is cubic. The energy relative to the elements, uncorrected comes out at -0.827 eV per atom. The value obtained for the magnetic moment is 0.00 μB/cell. The value obtained for the calculated volume is 24.6 Å³ per atom.

Cell and atoms, written as POSCAR:
```
LaPtBr2
1.0
-3.776 -3.494 -0.621
1.139 -5.054 -0.109
-1.380 -3.053 3.953
Br Pt La
2 1 1
Direct
0.000 0.000 0.000 Br
0.250 0.250 0.250 Br
0.750 0.750 0.750 Pt
0.500 0.500 0.500 La
```

***

# 3
Entry from the Alexandria database: an optimized crystal structure of LaPtBr2 (PBE).

Computed properties:
As for the raw total energy: -4.669 eV per atom. The calculation puts the calculated density at 6.85 Mg/m³. Its crystal system is monoclinic. The energy relative to the elements, uncorrected comes out at -1.091 eV per atom. The value obtained for the magnetic moment is 0.00 μB/cell. The value obtained for the calculated volume is 29.9 Å³ per atom.

Cell and atoms, written as POSCAR:
```
LaPtBr2
1.0
4.379 0.000 0.000
0.000 5.619 0.015
0.000 2.880 4.869
Br Pt La
2 1 1
Direct
0.000 0.953 0.950 Br
0.500 0.264 0.267 Br
0.500 0.726 0.732 Pt
0.000 0.557 0.551 La
```

***

# 4
Entry from the Alexandria database: an optimized crystal structure of LaPtBr2 (PBE).

Computed properties:
As for the raw total energy: -4.673 eV per atom. The calculation puts the calculated density at 6.22 Mg/m³. Its crystal system is trigonal. The energy relative to the elements, uncorrected comes out at -1.094 eV per atom. The value obtained for the magnetic moment is 0.87 μB/cell. The value obtained for the calculated volume is 33.0 Å³ per atom.

Cell and atoms, written as POSCAR:
```
LaPtBr2
1.0
-7.813 -1.030 -1.557
-7.244 -2.133 2.740
-7.576 2.169 1.561
Br Pt La
2 1 1
Direct
0.044 0.044 0.044 Br
0.225 0.225 0.225 Br
0.752 0.752 0.752 Pt
0.479 0.479 0.479 La
```

***

# 5
Entry from the Alexandria database: an optimized crystal structure of La7PtBr12 (PBE).

Computed properties:
As for the raw total energy: -4.784 eV per atom. The calculation puts the calculated density at 4.69 Mg/m³. Its crystal system is trigonal. The energy relative to the elements, uncorrected comes out at -1.754 eV per atom. The value obtained for the magnetic moment is 1.02 μB/cell. The value obtained for the calculated volume is 37.6 Å³ per atom.

Cell and atoms, written as POSCAR:
```
La7PtBr12
1.0
0.537 -3.113 -9.206
3.997 -6.827 5.669
-9.420 0.658 2.356
La Pt Br
7 1 12
Direct
0.968 0.676 0.881 La
0.324 0.119 0.032 La
0.119 0.032 0.324 La
0.500 0.500 0.500 La
0.881 0.968 0.676 La
0.676 0.881 0.968 La
0.032 0.324 0.119 La
0.000 0.000 0.000 Pt
0.926 0.315 0.786 Br
0.685 0.214 0.074 Br
0.477 0.165 0.387 Br
0.835 0.613 0.523 Br
0.214 0.074 0.685 Br
0.613 0.523 0.835 Br
0.387 0.477 0.165 Br
0.786 0.926 0.315 Br
0.165 0.387 0.477 Br
0.523 0.835 0.613 Br
0.315 0.786 0.926 Br
0.074 0.685 0.214 Br
```

***

# 6
Entry from the Alexandria database: an optimized crystal structure of LaPtBr2 (PBE).

Computed properties:
As for the raw total energy: -4.379 eV per atom. The calculation puts the calculated density at 8.35 Mg/m³. Its crystal system is tetragonal. The energy relative to the elements, uncorrected comes out at -0.801 eV per atom. The value obtained for the magnetic moment is 0.64 μB/cell. The value obtained for the calculated volume is 24.6 Å³ per atom.

Cell and atoms, written as POSCAR:
```
LaPtBr2
1.0
5.520 0.009 0.000
1.461 5.324 0.000
-3.490 -2.666 3.344
Br Pt La
2 1 1
Direct
0.000 0.000 0.000 Br
0.500 0.500 0.000 Br
0.750 0.250 0.500 Pt
0.250 0.750 0.500 La
```

***

# 7
Entry from the Alexandria database: an optimized crystal structure of LaPtBr2 (PBE).

Computed properties:
As for the raw total energy: -4.139 eV per atom. The calculation puts the calculated density at 7.15 Mg/m³. Its crystal system is trigonal. The energy relative to the elements, uncorrected comes out at -0.560 eV per atom. The value obtained for the magnetic moment is 0.00 μB/cell. The value obtained for the calculated volume is 28.7 Å³ per atom.

Cell and atoms, written as POSCAR:
```
LaPtBr2
1.0
6.044 -1.845 6.859
7.738 1.091 5.090
4.999 1.741 7.678
Br Pt La
2 1 1
Direct
0.911 0.911 0.911 Br
0.089 0.089 0.089 Br
0.000 0.000 0.000 Pt
0.500 0.500 0.500 La
```

***

# 8
Entry from the Alexandria database: an optimized crystal structure of La5PtBr5 (PBE).

Computed properties:
As for the raw total energy: -4.991 eV per atom. The calculation puts the calculated density at 6.24 Mg/m³. Its crystal system is monoclinic. The energy relative to the elements, uncorrected comes out at -1.442 eV per atom. The value obtained for the magnetic moment is 0.00 μB/cell. The value obtained for the calculated volume is 31.2 Å³ per atom.

Cell and atoms, written as POSCAR:
```
La5PtBr5
1.0
-4.815 0.432 -3.743
4.637 -5.478 -1.604
-5.349 -2.782 6.559
La Pt Br
5 1 5
Direct
0.825 0.651 0.144 La
0.848 0.697 0.703 La
0.500 0.000 0.000 La
0.152 0.303 0.297 La
0.175 0.349 0.856 La
0.000 0.000 0.000 Pt
0.668 0.335 0.358 Br
0.649 0.298 0.798 Br
0.000 0.000 0.500 Br
0.351 0.702 0.202 Br
0.332 0.665 0.642 Br
```

***

# 9
Entry from the Alexandria database: an optimized crystal structure of La3PtBr3 (PBE).

Computed properties:
As for the raw total energy: -5.262 eV per atom. The calculation puts the calculated density at 6.00 Mg/m³. Its crystal system is cubic. The energy relative to the elements, uncorrected comes out at -1.570 eV per atom. The value obtained for the magnetic moment is 0.00 μB/cell. The value obtained for the calculated volume is 33.7 Å³ per atom.

Cell and atoms, written as POSCAR:
```
La3PtBr3
1.0
-2.439 1.375 -10.327
-1.349 -10.279 2.646
-6.404 6.102 6.020
La Pt Br
12 4 12
Direct
0.973 0.486 0.236 La
0.514 0.027 0.264 La
0.250 0.014 0.486 La
0.986 0.750 0.014 La
0.986 0.236 0.473 La
0.764 0.014 0.027 La
0.736 0.473 0.486 La
0.764 0.750 0.236 La
0.527 0.264 0.014 La
0.250 0.236 0.264 La
0.736 0.264 0.750 La
0.514 0.486 0.750 La
0.750 0.500 0.000 Pt
0.500 0.250 0.500 Pt
0.750 0.250 0.250 Pt
0.000 0.000 0.250 Pt
0.245 0.995 0.991 Br
0.750 0.755 0.745 Br
0.491 0.745 0.995 Br
0.005 0.250 0.995 Br
0.255 0.745 0.250 Br
0.495 0.505 0.250 Br
0.245 0.250 0.755 Br
0.255 0.509 0.505 Br
0.750 0.995 0.505 Br
0.009 0.505 0.755 Br
0.005 0.755 0.509 Br
0.495 0.991 0.745 Br
```

***

# 10
Entry from the Alexandria database: an optimized crystal structure of LaPtBr2 (PBE).

Computed properties:
As for the raw total energy: -4.368 eV per atom. The calculation puts the calculated density at 7.53 Mg/m³. Its crystal system is tetragonal. The energy relative to the elements, uncorrected comes out at -0.790 eV per atom. The value obtained for the magnetic moment is 0.00 μB/cell. The value obtained for the calculated volume is 27.2 Å³ per atom.

Cell and atoms, written as POSCAR:
```
LaPtBr2
1.0
4.727 0.000 0.000
0.000 4.727 0.000
2.363 2.363 9.745
Br Pt La
4 2 2
Direct
0.642 0.125 0.250 Br
0.108 0.625 0.250 Br
0.375 0.358 0.750 Br
0.875 0.892 0.750 Br
0.000 0.000 0.000 Pt
0.750 0.250 0.500 Pt
0.500 0.500 0.000 La
0.250 0.750 0.500 La
```

***

# 11
Entry from the Alexandria database: an optimized crystal structure of LaPtBr2 (PBE).

Computed properties:
As for the raw total energy: -4.626 eV per atom. The calculation puts the calculated density at 6.62 Mg/m³. Its crystal system is orthorhombic. The energy relative to the elements, uncorrected comes out at -1.048 eV per atom. The value obtained for the magnetic moment is 0.00 μB/cell. The value obtained for the calculated volume is 31.0 Å³ per atom.

Cell and atoms, written as POSCAR:
```
LaPtBr2
1.0
7.572 0.063 -0.100
6.478 3.920 -0.100
1.357 0.385 4.210
Pt Br La
1 2 1
Direct
0.213 0.213 0.287 Pt
0.979 0.979 0.021 Br
0.730 0.730 0.770 Br
0.578 0.578 0.422 La
```

***

# 12
Entry from the Alexandria database: an optimized crystal structure of LaPtBr (PBE).

Computed properties:
As for the raw total energy: -5.347 eV per atom. The calculation puts the calculated density at 7.75 Mg/m³. Its crystal system is cubic. The energy relative to the elements, uncorrected comes out at -1.133 eV per atom. The value obtained for the magnetic moment is 0.00 μB/cell. The value obtained for the calculated volume is 29.5 Å³ per atom.

Cell and atoms, written as POSCAR:
```
LaPtBr
1.0
-4.111 -0.913 -2.705
0.088 -3.491 -3.585
-2.503 -4.289 0.622
Br Pt La
1 1 1
Direct
0.500 0.500 0.500 Br
0.000 0.000 0.000 Pt
0.750 0.750 0.750 La
```